DFT (PBE) results for a relaxed Ni2BrCl crystal.

Results
- magnetization (Bohr magnetons per cell) = 1.149
- N(E_F) (states/eV/f.u.) = 5.88
- formation energy from raw total energies (eV/atom) = 0.17
- energy above the most stable polymorph in this dataset (eV per atom) = 0.313
- symmetry = P2/m

Lattice parameters (Å, degrees): 4.8593 3.2928 4.9476 90.00 92.52 90.00
Fractional coordinates of all 4 atoms:
Ni 0.1618 0.0000 0.3119
Ni 0.8382 0.0000 0.6881
Br 0.5000 0.5000 0.5000
Cl 0.0000 0.5000 0.0000

DFT (PBE) results for a relaxed Ni2BrCl crystal.

Results
- magnetization (Bohr magnetons per cell) = 2.096
- N(E_F) (states/eV/f.u.) = 3.74
- formation energy from raw total energies (eV/atom) = 0.80
- energy above the most stable polymorph in this dataset (eV per atom) = 0.945
- symmetry = F-43m

Lattice parameters (Å, degrees): 4.5969 4.5969 4.5969 60.00 60.00 60.00
Fractional coordinates of all 4 atoms:
Ni 0.0000 0.0000 0.0000
Ni 0.2500 0.2500 0.2500
Br 0.5000 0.5000 0.5000
Cl 0.7500 0.7500 0.7500

DFT (PBE) results for a relaxed NiBr2Cl crystal.

Results
- magnetization (Bohr magnetons per cell) = 1.837
- N(E_F) (states/eV/f.u.) = 6.06
- formation energy from raw total energies (eV/atom) = 0.70
- energy above the most stable polymorph in this dataset (eV per atom) = 0.970
- symmetry = P4/mmm

Lattice parameters (Å, degrees): 5.0201 5.0201 3.3704 90.00 90.00 90.00
Fractional coordinates of all 4 atoms:
Ni 0.0000 0.0000 0.0000
Br 0.0000 0.5000 0.5000
Br 0.5000 0.0000 0.5000
Cl 0.5000 0.5000 0.0000

- Which value of N(E_F) does entry 2 give?
  3.74 states/eV/f.u.